[1]
Density functional theory data (GGA-PBE) for crystalline TaCuSb3 at its relaxed geometry.

Calculated values
**Symmetry**: Pm-3m (221)
**Formation energy from raw total energies**: 97.7 kJ per mole of atoms
**DFT total energy**: -23.3 eV for the cell shown
**Magnetic moment**: 0.3681 μB/atom

abc: 4.985 4.985 4.985
angles: 90.00 90.00 90.00
Sites, in units of the cell vectors:
Ta1 0.000 0.000 0.000
Cu1 0.500 0.500 0.500
Sb1 0.000 0.500 0.500
Sb2 0.500 0.000 0.500
Sb3 0.500 0.500 0.000


[2]
Density functional theory data (GGA-PBE) for crystalline NbCuP at its relaxed geometry.

Calculated values
**Symmetry**: C2/m (12)
**DFT total energy**: -41.8 eV for the cell shown
**Magnetic moment**: 0.0000 μB/atom
**Formation enthalpy at 0 K**: -1.33 eV/f.u.

abc: 4.833 4.833 6.643
angles: 115.78 115.78 39.08
Sites, in units of the cell vectors:
Nb1 0.081 0.081 0.351
Nb2 0.919 0.919 0.649
Cu1 0.354 0.354 0.964
Cu2 0.646 0.646 0.036
P1 0.346 0.346 0.311
P2 0.654 0.654 0.689


[3]
Density functional theory data (GGA-PBE) for crystalline TmAs2HO6 at its relaxed geometry.

Calculated values
**Symmetry**: C2/c (15)
**DFT total energy**: -126.9 eV for the cell shown
**Magnetic moment**: 0.0000 μB/atom

abc: 7.190 7.190 6.737
angles: 99.19 99.19 93.74
Sites, in units of the cell vectors:
Tm1 0.221 0.779 0.750
Tm2 0.779 0.221 0.250
As1 0.137 0.254 0.633
As2 0.254 0.137 0.133
As3 0.746 0.863 0.867
As4 0.863 0.746 0.367
H1 0.174 0.826 0.250
H2 0.826 0.174 0.750
O1 0.111 0.225 0.317
O2 0.120 0.784 0.404
O3 0.191 0.484 0.756
O4 0.216 0.880 0.096
O5 0.225 0.111 0.817
O6 0.484 0.191 0.256
O7 0.516 0.809 0.744
O8 0.775 0.889 0.183
O9 0.784 0.120 0.904
O10 0.809 0.516 0.244
O11 0.880 0.216 0.596
O12 0.889 0.775 0.683